# 1
A plane-wave DFT calculation with PBE was carried out for a relaxed Mn4Nb3W crystal.

Summary:
E_tot: -0.73807 Ry/atom
total magnetic moment: 0.00 μB per cell

```
data_Mn4Nb3W
_cell_length_a 3.045
_cell_length_b 4.321
_cell_length_c 8.638
_cell_angle_alpha 90.00
_cell_angle_beta 90.00
_cell_angle_gamma 90.00
_symmetry_space_group_name_H-M 'P m m m'
_symmetry_Int_Tables_number 47
loop_
_symmetry_equiv_pos_as_xyz
'x,y,z'
'-x,-y,-z'
'-x,-y,z'
'x,y,-z'
'x,-y,-z'
'-x,y,z'
'-x,y,-z'
'x,-y,z'
loop_
_atom_site_label
_atom_site_fract_x
_atom_site_fract_y
_atom_site_fract_z
Mn1 0.000 0.000 0.000
Mn2 0.000 0.000 0.500
Mn3 0.000 0.500 0.243
Nb1 0.500 0.000 0.248
Nb2 0.500 0.500 0.500
W1 0.500 0.500 0.000
```

---

# 2
A plane-wave DFT calculation with PBE was carried out for a relaxed Mn2Nb2W crystal.

Summary:
E_tot: -0.74060 Ry/atom
total magnetic moment: 0.00 μB per cell

```
data_Mn2Nb2W
_cell_length_a 6.754
_cell_length_b 6.754
_cell_length_c 3.344
_cell_angle_alpha 90.00
_cell_angle_beta 90.00
_cell_angle_gamma 90.00
_symmetry_space_group_name_H-M 'P 4/m b m'
_symmetry_Int_Tables_number 127
_symmetry_space_group_name_Hall '-P 4 2ab'
loop_
_atom_site_label
_atom_site_fract_x
_atom_site_fract_y
_atom_site_fract_z
Mn1 0.107 0.393 0.000
Nb1 0.196 0.696 0.500
W1 0.000 0.000 0.000
```

---

# 3
A plane-wave DFT calculation with PBE was carried out for a relaxed MnNb4W3 crystal.

Summary:
E_tot: -0.81443 Ry/atom
total magnetic moment: 0.00 μB per cell

```
data_MnNb4W3
_cell_length_a 3.207
_cell_length_b 3.207
_cell_length_c 12.849
_cell_angle_alpha 90.00
_cell_angle_beta 90.00
_cell_angle_gamma 90.00
_symmetry_space_group_name_H-M 'P 4/m m m'
_symmetry_Int_Tables_number 123
_symmetry_space_group_name_Hall '-P 4 2'
loop_
_atom_site_label
_atom_site_fract_x
_atom_site_fract_y
_atom_site_fract_z
Mn1 0.000 0.000 0.000
Nb1 0.500 0.500 0.117
Nb2 0.500 0.500 0.372
W1 0.000 0.000 0.245
W2 0.000 0.000 0.500
```